# 1
Below is a relaxed Sc2MoP crystal, with properties calculated at the PBE-GGA level.

extended XYZ file:
```
8
Lattice="3.637 0.000 0.000 0.000 3.882 0.000 0.000 0.000 10.526" Properties=species:S:1:pos:R:3 pbc="T T T"
Sc 0.000 0.000 0.000
Sc 0.000 1.941 5.263
Sc 1.818 0.000 3.087
Sc 1.818 1.941 8.350
Mo 1.818 0.000 6.106
Mo 1.818 1.941 0.843
P 0.000 0.000 7.755
P 0.000 1.941 2.493
```

## Properties
- Fermi-level density of states: 1.16 states/eV/atom

---

# 2
Below is a relaxed HoErBeAu crystal, with properties calculated at the PBE-GGA level.

extended XYZ file:
```
16
Lattice="7.011 0.000 0.000 0.000 7.011 0.000 0.000 0.000 7.011" Properties=species:S:1:pos:R:3 pbc="T T T"
Ho 0.000 0.000 0.000
Ho 0.000 3.505 3.505
Ho 3.505 0.000 3.505
Ho 3.505 3.505 0.000
Er 0.000 0.000 3.505
Er 0.000 3.505 0.000
Er 3.505 0.000 0.000
Er 3.505 3.505 3.505
Be 1.753 1.753 5.258
Be 1.753 5.258 1.753
Be 5.258 1.753 1.753
Be 5.258 5.258 5.258
Au 1.753 1.753 1.753
Au 1.753 5.258 5.258
Au 5.258 1.753 5.258
Au 5.258 5.258 1.753
```

## Properties
- Fermi-level density of states: 1.11 states/eV/atom

---

# 3
Below is a relaxed CdFeP3 crystal, with properties calculated at the PBE-GGA level.

extended XYZ file:
```
5
Lattice="4.432 0.000 0.000 0.000 4.432 0.000 0.000 0.000 4.432" Properties=species:S:1:pos:R:3 pbc="T T T"
Cd 0.000 0.000 0.000
Fe 2.216 2.216 2.216
P 0.000 2.216 2.216
P 2.216 0.000 2.216
P 2.216 2.216 0.000
```

## Properties
- Distance to the lowest polymorph of the same formula: 0 meV per atom
- Fermi-level density of states: 0.86 states/eV/atom

---

| no. | DFT formation energy (eV per atom) |
| --- | --- |
| 1 | -0.529 |
| 2 | -0.353 |
| 3 | 0.476 |